CrCd4Re: relaxed, GGA-PBE.

Summary:
* space group: No. 216
* magnetic moment: 1.21 μB per formula unit
* total DFT energy (no corrections): -20.9 eV/cell
* formation energy from the elements: 0.810 eV per atom

Cell: 5.491 5.491 5.491 Å, 60.00 60.00 60.00°
Positions (direct):
Cr1 0.000 0.000 0.000
Cd1 0.375 0.375 0.375
Cd2 0.375 0.375 0.875
Cd3 0.375 0.875 0.375
Cd4 0.875 0.375 0.375
Re1 0.750 0.750 0.750

Cr2Cd4Re: relaxed, GGA-PBE.

Summary:
* space group: No. 139
* magnetic moment: 8.43 μB per formula unit
* total DFT energy (no corrections): -27.3 eV/cell
* formation energy from the elements: 1.157 eV per atom

Cell: 7.873 7.873 7.873 Å, 141.46 141.46 55.65°
Positions (direct):
Cr1 0.104 0.104 0.000
Cr2 0.896 0.896 0.000
Cd1 0.000 0.500 0.500
Cd2 0.305 0.305 0.000
Cd3 0.500 0.000 0.500
Cd4 0.695 0.695 0.000
Re1 0.500 0.500 0.000

Cr2CdRe: relaxed, GGA-PBE.

Summary:
* space group: No. 47
* magnetic moment: 0.00 μB per formula unit
* total DFT energy (no corrections): -31.1 eV/cell
* formation energy from the elements: 0.387 eV per atom

Cell: 2.893 3.731 5.727 Å, 90.00 90.00 90.00°
Positions (direct):
Cr1 0.000 0.000 0.184
Cr2 0.000 0.000 0.816
Cd1 0.500 0.500 0.500
Re1 0.500 0.500 0.000

Cr2CdRe: relaxed, GGA-PBE.

Summary:
* space group: No. 99
* magnetic moment: 2.13 μB per formula unit
* total DFT energy (no corrections): -31.2 eV/cell
* formation energy from the elements: 0.362 eV per atom

Cell: 2.944 2.944 6.957 Å, 90.00 90.00 90.00°
Positions (direct):
Cr1 0.000 0.000 0.000
Cr2 0.500 0.500 0.195
Cd1 0.500 0.500 0.712
Re1 0.000 0.000 0.406

Cr2CdRe: relaxed, GGA-PBE.

Summary:
* space group: No. 71
* magnetic moment: 1.12 μB per formula unit
* total DFT energy (no corrections): -30.2 eV/cell
* formation energy from the elements: 0.603 eV per atom

Cell: 5.021 5.021 5.021 Å, 143.63 127.06 65.94°
Positions (direct):
Cr1 0.230 0.230 0.000
Cr2 0.770 0.770 0.000
Cd1 0.500 0.000 0.500
Re1 0.000 0.500 0.500

Cr2CdRe: relaxed, GGA-PBE.

Summary:
* space group: No. 35
* magnetic moment: 0.00 μB per formula unit
* total DFT energy (no corrections): -31.1 eV/cell
* formation energy from the elements: 0.368 eV per atom

Cell: 2.672 2.672 8.847 Å, 90.00 90.00 111.69°
Positions (direct):
Cr1 0.000 0.000 0.000
Cr2 0.500 0.500 0.202
Cd1 0.500 0.500 0.726
Re1 0.000 0.000 0.435